(1)
# CuPbSe2 GGA-PBE relaxed
data_CuPbSe2
_chemical_formula_sum 'Cu3 Pb3 Se6'
_symmetry_space_group_name_H-M 'R -3 m'
_symmetry_Int_Tables_number 166
_symmetry_space_group_name_Hall '-R 3 2"'
_cell_length_a 4.5206
_cell_length_b 4.5206
_cell_length_c 22.3025
_cell_angle_alpha 90.00
_cell_angle_beta 90.00
_cell_angle_gamma 120.00
loop_
_atom_site_label
_atom_site_fract_x
_atom_site_fract_y
_atom_site_fract_z
Cu1 0.0000 0.0000 0.0000
Pb1 0.0000 0.0000 0.5000
Se1 0.0000 0.0000 0.1002
# formation energy without anion corrections = -0.126 eV per atom



(2)
# RbTl2SnBr5 GGA-PBE relaxed
data_RbTl2SnBr5
_chemical_formula_sum 'Rb4 Tl8 Sn4 Br20'
_symmetry_space_group_name_H-M 'C m c 21'
_symmetry_Int_Tables_number 36
_cell_length_a 5.300
_cell_length_b 17.819
_cell_length_c 15.644
_cell_angle_alpha 90.00
_cell_angle_beta 90.00
_cell_angle_gamma 90.00
loop_
_symmetry_equiv_pos_as_xyz
'x,y,z'
'-x,-y,z+1/2'
'-x,y,z'
'x,-y,z+1/2'
'x+1/2,y+1/2,z'
'-x+1/2,-y+1/2,z+1/2'
'-x+1/2,y+1/2,z'
'x+1/2,-y+1/2,z+1/2'
loop_
_atom_site_label
_atom_site_fract_x
_atom_site_fract_y
_atom_site_fract_z
Rb1 0.000 0.237 0.000
Tl1 0.000 0.338 0.257
Tl2 0.000 0.388 0.749
Sn1 0.000 0.033 0.497
Br1 0.000 0.077 0.866
Br2 0.000 0.078 0.124
Br3 0.000 0.185 0.373
Br4 0.000 0.236 0.656
Br5 0.000 0.425 0.060
# formation energy without anion corrections = -1.011 eV per atom



(3)
# Na2AlTeO4 GGA-PBE relaxed
data_Na2AlTeO4
_chemical_formula_sum 'Na2 Al1 Te1 O4'
_symmetry_space_group_name_H-M 'P 1'
_symmetry_Int_Tables_number 1
_cell_length_a 5.166
_cell_length_b 5.472
_cell_length_c 5.838
_cell_angle_alpha 62.96
_cell_angle_beta 65.45
_cell_angle_gamma 62.71
loop_
_symmetry_equiv_pos_as_xyz
'x,y,z'
loop_
_atom_site_label
_atom_site_fract_x
_atom_site_fract_y
_atom_site_fract_z
Na1 0.000 0.000 0.000
Na2 0.234 0.210 0.253
Al1 0.497 0.420 0.513
Te1 0.854 0.731 0.660
O1 0.212 0.363 0.821
O2 0.227 0.737 0.347
O3 0.641 0.122 0.391
O4 0.812 0.491 0.487
# formation energy without anion corrections = -1.704 eV per atom



(4)
# Ta2CoCu GGA-PBE relaxed
data_Ta2CoCu
_chemical_formula_sum 'Ta2 Co1 Cu1'
_symmetry_space_group_name_H-M 'P 4/m m m'
_symmetry_Int_Tables_number 123
_symmetry_space_group_name_Hall '-P 4 2'
_cell_length_a 2.792
_cell_length_b 2.792
_cell_length_c 7.541
_cell_angle_alpha 90.00
_cell_angle_beta 90.00
_cell_angle_gamma 90.00
loop_
_atom_site_label
_atom_site_fract_x
_atom_site_fract_y
_atom_site_fract_z
Ta1 0.000 0.000 0.236
Co1 0.500 0.500 0.000
Cu1 0.500 0.500 0.500
# E_form = 0.010 eV/atom



Which formula does entry 2 have? RbTl2SnBr5